First-principles (PBE-GGA) data for NaIr2Ru after structural relaxation, as listed in Alexandria.

Properties
Relative energy among the computed polymorphs = 3.20 kcal/mol of atoms
Fermi-level density of states = 1.168 states/eV/atom

Lattice parameters (Å, degrees): 7.4238 7.4238 5.1692 90.00 90.00 90.00
Closest atoms and distances in Å follow each position.
Space group I-42d (No. 122)
Inequivalent atoms, fractional coordinates:
1 Na 0.0000 0.0000 0.0000  2 Ru 2.58
2 Ir 0.1958 0.2500 0.6250  2 Ru 2.44, 2 Ir 2.71
3 Ru 0.0000 0.0000 0.5000  4 Ir 2.44, 2 Na 2.58



First-principles (PBE-GGA) data for NaIr2Ru after structural relaxation, as listed in Alexandria.

Properties
Relative energy among the computed polymorphs = 0.00 kcal/mol of atoms
Fermi-level density of states = 1.638 states/eV/atom

Lattice parameters (Å, degrees): 6.2296 6.2296 6.2296 90.00 90.00 90.00
Closest atoms and distances in Å follow each position.
Space group Fm-3m (No. 225)
Inequivalent atoms, fractional coordinates:
1 Na 0.0000 0.0000 0.0000  8 Ir 2.70
2 Ir 0.2500 0.2500 0.2500  4 Na 2.70, 4 Ru 2.70
3 Ru 0.0000 0.0000 0.5000  8 Ir 2.70



First-principles (PBE-GGA) data for Na2IrRu after structural relaxation, as listed in Alexandria.

Properties
Relative energy among the computed polymorphs = 3.46 kcal/mol of atoms
Fermi-level density of states = 1.779 states/eV/atom

Lattice parameters (Å, degrees): 6.5316 6.5316 6.5316 90.00 90.00 90.00
Closest atoms and distances in Å follow each position.
Space group Fm-3m (No. 225)
Inequivalent atoms, fractional coordinates:
1 Na 0.2500 0.2500 0.2500  4 Ru 2.83, 4 Ir 2.83
2 Ir 0.0000 0.0000 0.0000  8 Na 2.83
3 Ru 0.0000 0.0000 0.5000  8 Na 2.83



First-principles (PBE-GGA) data for NaIrRuS2 after structural relaxation, as listed in Alexandria.

Properties
ΔE_f (raw) = 1.96 eV/atom
Fermi-level density of states = 1.302 states/eV/atom

Lattice parameters (Å, degrees): 4.6130 4.6130 4.7319 90.00 90.00 90.00
Closest atoms and distances in Å follow each position.
Space group P4/mmm (No. 123)
Inequivalent atoms, fractional coordinates:
1 Na 0.0000 0.0000 0.0000  4 S 2.31, 2 Ir 2.37
2 Ir 0.0000 0.0000 0.5000  2 Na 2.37
3 Ru 0.5000 0.5000 0.5000  4 Ir 3.26, 8 S 3.30
4 S 0.0000 0.5000 0.0000  2 Na 2.31



First-principles (PBE-GGA) data for Na2IrS4 after structural relaxation, as listed in Alexandria.

Properties
ΔE_f (raw) = -0.14 eV/atom
Fermi-level density of states = 0.634 states/eV/atom

Lattice parameters (Å, degrees): 4.8321 4.8321 14.0042 90.00 90.00 90.00
Closest atoms and distances in Å follow each position.
Space group I4/mmm (No. 139)
Inequivalent atoms, fractional coordinates:
1 Na 0.0000 0.0000 0.1333  5 S 2.83-3.05
2 Ir 0.0000 0.0000 0.5000  6 S 2.31-2.42
3 S 0.0000 0.0000 0.3350  1 Ir 2.31
4 S 0.0000 0.5000 0.0000  2 Ir 2.42



First-principles (PBE-GGA) data for NaIr3S after structural relaxation, as listed in Alexandria.

Properties
ΔE_f (raw) = 2.70 eV/atom
Relative energy among the computed polymorphs = 48.23 kcal/mol of atoms
Fermi-level density of states = 1.566 states/eV/atom

Lattice parameters (Å, degrees): 4.5317 4.5317 4.5317 90.00 90.00 90.00
Closest atoms and distances in Å follow each position.
Space group Pm-3m (No. 221)
Inequivalent atoms, fractional coordinates:
1 Na 0.0000 0.0000 0.0000  6 Ir 2.27
2 Ir 0.0000 0.0000 0.5000  2 Na 2.27
3 S 0.5000 0.5000 0.5000  12 Ir 3.20



First-principles (PBE-GGA) data for NaIr2S4 after structural relaxation, as listed in Alexandria.

Properties
ΔE_f (raw) = -0.51 eV/atom
Fermi-level density of states = 0.875 states/eV/atom

Lattice parameters (Å, degrees): 6.2239 3.6258 6.7678 90.00 108.56 90.00
Closest atoms and distances in Å follow each position.
Space group P2/m (No. 10)
Inequivalent atoms, fractional coordinates:
1 Na 0.0000 0.0000 0.0000  6 S 2.90-2.93
2 Ir 0.0000 0.5000 0.5000  6 S 2.40
3 Ir 0.5000 0.0000 0.5000  6 S 2.38-2.39
4 S 0.2303 0.0000 0.6830  3 Ir 2.38-2.40
5 S 0.2713 0.5000 0.3161  3 Ir 2.39-2.40



First-principles (PBE-GGA) data for NaIrS after structural relaxation, as listed in Alexandria.

Properties
ΔE_f (raw) = -0.26 eV/atom
Fermi-level density of states = 0.429 states/eV/atom

Lattice parameters (Å, degrees): 5.8176 4.0409 5.9614 90.00 111.35 90.00
Closest atoms and distances in Å follow each position.
Space group P2_1/m (No. 11)
Inequivalent atoms, fractional coordinates:
1 Na 0.1447 0.2500 0.2894  4 S 2.87-3.10, 1 Ir 3.09
2 Ir 0.3526 0.2500 0.8796  3 S 2.25-2.43
3 S 0.3489 0.7500 0.7109  3 Ir 2.25-2.43



First-principles (PBE-GGA) data for Na3IrS after structural relaxation, as listed in Alexandria.

Properties
ΔE_f (raw) = 0.71 eV/atom
Fermi-level density of states = 1.487 states/eV/atom

Lattice parameters (Å, degrees): 5.4574 5.4574 5.4574 90.00 90.00 90.00
Closest atoms and distances in Å follow each position.
Space group Pm-3m (No. 221)
Inequivalent atoms, fractional coordinates:
1 Na 0.0000 0.0000 0.5000  2 Ir 2.73
2 Ir 0.0000 0.0000 0.0000  6 Na 2.73
3 S 0.5000 0.5000 0.5000  12 Na 3.86



First-principles (PBE-GGA) data for NaIr3S after structural relaxation, as listed in Alexandria.

Properties
ΔE_f (raw) = 0.61 eV/atom
Relative energy among the computed polymorphs = 0.00 kcal/mol of atoms
Fermi-level density of states = 0.905 states/eV/atom

Lattice parameters (Å, degrees): 4.4339 4.4339 4.4339 90.00 90.00 90.00
Closest atoms and distances in Å follow each position.
Space group Pm-3m (No. 221)
Inequivalent atoms, fractional coordinates:
1 Na 0.0000 0.0000 0.0000  12 Ir 3.14
2 Ir 0.0000 0.5000 0.5000  2 S 2.22
3 S 0.5000 0.5000 0.5000  6 Ir 2.22



First-principles (PBE-GGA) data for Na2Ir3S6 after structural relaxation, as listed in Alexandria.

Properties
ΔE_f (raw) = -0.58 eV/atom
Fermi-level density of states = 0.669 states/eV/atom

Lattice parameters (Å, degrees): 6.2908 10.8937 6.6898 90.00 108.32 90.00
Closest atoms and distances in Å follow each position.
Space group C2/m (No. 12)
Inequivalent atoms, fractional coordinates:
1 Na 0.0000 0.1662 0.0000  6 S 2.89-2.91
2 Ir 0.0000 0.0000 0.5000  6 S 2.40
3 Ir 0.0000 0.3330 0.5000  6 S 2.39-2.41
4 S 0.2276 0.1668 0.6829  3 Ir 2.39-2.40
5 S 0.2287 0.5000 0.6850  3 Ir 2.40-2.41



First-principles (PBE-GGA) data for Na2IrS after structural relaxation, as listed in Alexandria.

Properties
ΔE_f (raw) = -0.19 eV/atom
Fermi-level density of states = 0.387 states/eV/atom

Lattice parameters (Å, degrees): 10.8234 10.8234 4.3104 90.00 90.00 90.00
Closest atoms and distances in Å follow each position.
Space group I4_1/amd (No. 141, origin choice 2)
Inequivalent atoms, fractional coordinates:
1 Na 0.0000 0.0000 0.0000  2 S 2.76
2 Ir 0.0000 0.2500 0.3750  2 S 2.16
3 S 0.0000 0.2500 0.8750  2 Ir 2.16



First-principles (PBE-GGA) data for Na4SbIr3S8 after structural relaxation, as listed in Alexandria.

Properties
ΔE_f (raw) = -0.60 eV/atom
Fermi-level density of states = 0.199 states/eV/atom

Lattice parameters (Å, degrees): 7.4362 7.4362 19.4710 90.00 90.00 120.00
Closest atoms and distances in Å follow each position.
Space group R-3m (No. 166, hexagonal axes)
Inequivalent atoms, fractional coordinates:
1 Na 0.0000 0.0000 0.0000  6 S 2.74
2 Na 0.0000 0.5000 0.0000  6 S 2.97-3.00
3 Sb 0.0000 0.0000 0.5000  6 S 2.69
4 Ir 0.0000 0.5000 0.5000  6 S 2.44
5 S 0.0000 0.0000 0.2258  3 Ir 2.44
6 S 0.0313 0.5157 0.7660  2 Ir 2.44, 1 Sb 2.69



First-principles (PBE-GGA) data for NaIrSeS after structural relaxation, as listed in Alexandria.

Properties
ΔE_f (raw) = -0.61 eV/atom

Lattice parameters (Å, degrees): 3.7652 3.7652 19.4602 90.00 90.00 120.00
Closest atoms and distances in Å follow each position.
Space group R3m (No. 160, hexagonal axes)
Inequivalent atoms, fractional coordinates:
1 Na 0.0000 0.0000 0.0000  3 S 2.87, 3 Se 3.12
2 Ir 0.0000 0.0000 0.8210  3 S 2.45, 3 Se 2.51
3 Se 0.0000 0.0000 0.2186  3 Ir 2.51
4 S 0.0000 0.0000 0.4300  3 Ir 2.45



First-principles (PBE-GGA) data for NaSiIrS2 after structural relaxation, as listed in Alexandria.

Properties
ΔE_f (raw) = 0.62 eV/atom
Fermi-level density of states = 1.051 states/eV/atom

Lattice parameters (Å, degrees): 4.5938 4.5938 5.1407 90.00 90.00 90.00
Closest atoms and distances in Å follow each position.
Space group P4/mmm (No. 123)
Inequivalent atoms, fractional coordinates:
1 Na 0.0000 0.0000 0.0000  2 Ir 2.57
2 Si 0.5000 0.5000 0.0000  4 Na 3.25, 8 S 3.45
3 Ir 0.0000 0.0000 0.5000  4 S 2.30, 2 Na 2.57
4 S 0.0000 0.5000 0.5000  2 Ir 2.30



First-principles (PBE-GGA) data for Na4TeIr3S8 after structural relaxation, as listed in Alexandria.

Properties
ΔE_f (raw) = -0.52 eV/atom
Fermi-level density of states = 0.336 states/eV/atom

Lattice parameters (Å, degrees): 7.5529 7.5529 19.0804 90.00 90.00 120.00
Closest atoms and distances in Å follow each position.
Space group R-3m (No. 166, hexagonal axes)
Inequivalent atoms, fractional coordinates:
1 Na 0.0000 0.0000 0.0000  6 S 2.75
2 Na 0.0000 0.5000 0.0000  6 S 2.98-3.01
3 Te 0.0000 0.0000 0.5000  6 S 2.71
4 Ir 0.0000 0.5000 0.5000  6 S 2.42-2.47
5 S 0.0000 0.0000 0.2270  3 Ir 2.47
6 S 0.0355 0.5177 0.7681  2 Ir 2.42



First-principles (PBE-GGA) data for Na3TiIr3S8 after structural relaxation, as listed in Alexandria.

Properties
ΔE_f (raw) = -0.75 eV/atom
Fermi-level density of states = 0.153 states/eV/atom

Lattice parameters (Å, degrees): 7.1636 7.1636 19.6590 90.00 90.00 120.00
Closest atoms and distances in Å follow each position.
Space group R-3m (No. 166, hexagonal axes)
Inequivalent atoms, fractional coordinates:
1 Na 0.0000 0.5000 0.0000  6 S 2.88-2.94
2 Ti 0.0000 0.0000 0.5000  6 S 2.48
3 Ir 0.0000 0.5000 0.5000  6 S 2.39-2.42
4 S 0.0000 0.0000 0.2272  3 Ir 2.39
5 S 0.0083 0.5042 0.7676  2 Ir 2.42, 1 Ti 2.48



First-principles (PBE-GGA) data for NaUIr2S5 after structural relaxation, as listed in Alexandria.

Properties
ΔE_f (raw) = -0.30 eV/atom
Fermi-level density of states = 1.035 states/eV/atom

Lattice parameters (Å, degrees): 5.4981 7.5658 10.0465 90.00 90.00 90.00
Closest atoms and distances in Å follow each position.
Space group Immm (No. 71)
Inequivalent atoms, fractional coordinates:
1 Na 0.0000 0.0000 0.0000  14 S 3.63-4.01, 4 Ir 3.92
2 U 0.0000 0.0000 0.5000  6 S 2.51-2.75
3 Ir 0.0000 0.5000 0.2221  3 S 2.19-2.23
4 S 0.0000 0.2627 0.3467  1 Ir 2.19
5 S 0.0000 0.5000 0.0000  2 Ir 2.23



First-principles (PBE-GGA) data for Na3VIr3S8 after structural relaxation, as listed in Alexandria.

Properties
ΔE_f (raw) = -0.66 eV/atom
Fermi-level density of states = 0.567 states/eV/atom

Lattice parameters (Å, degrees): 7.2066 7.2066 19.3238 90.00 90.00 120.00
Closest atoms and distances in Å follow each position.
Space group R-3m (No. 166, hexagonal axes)
Inequivalent atoms, fractional coordinates:
1 Na 0.0000 0.5000 0.0000  6 S 2.89-2.91
2 V 0.0000 0.0000 0.5000  6 S 2.44
3 Ir 0.0000 0.5000 0.5000  6 S 2.39-2.41
4 S 0.0000 0.0000 0.2277  3 Ir 2.39
5 S 0.0045 0.5023 0.7695  2 Ir 2.41, 1 V 2.44



First-principles (PBE-GGA) data for NaIrW2S8 after structural relaxation, as listed in Alexandria.

Properties
ΔE_f (raw) = -0.38 eV/atom

Lattice parameters (Å, degrees): 6.1076 6.1076 27.2471 90.00 90.00 120.00
Closest atoms and distances in Å follow each position.
Space group R-3 (No. 148, hexagonal axes)
Inequivalent atoms, fractional coordinates:
1 Na 0.0000 0.0000 0.0000  12 S 3.54-3.74
2 Ir 0.0000 0.0000 0.5000  6 S 2.38
3 W 0.0000 0.0000 0.2423  4 S 2.18-2.23
4 S 0.0000 0.0000 0.3224  1 W 2.18
5 S 0.0077 0.6923 0.5526  1 W 2.23, 1 Ir 2.38



First-principles (PBE-GGA) data for NaIrW2S after structural relaxation, as listed in Alexandria.

Properties
ΔE_f (raw) = 3.13 eV/atom
Fermi-level density of states = 1.714 states/eV/atom

Lattice parameters (Å, degrees): 4.6342 4.6342 4.4539 90.00 90.00 90.00
Closest atoms and distances in Å follow each position.
Space group P4/mmm (No. 123)
Inequivalent atoms, fractional coordinates:
1 Na 0.0000 0.0000 0.0000  2 Ir 2.23, 4 W 2.32
2 Ir 0.0000 0.0000 0.5000  2 Na 2.23
3 W 0.0000 0.5000 0.0000  2 Na 2.32
4 S 0.5000 0.5000 0.5000  8 W 3.21, 4 Ir 3.28



First-principles (PBE-GGA) data for NaYIrS2 after structural relaxation, as listed in Alexandria.

Properties
ΔE_f (raw) = -0.08 eV/atom
Fermi-level density of states = 0.488 states/eV/atom

Lattice parameters (Å, degrees): 4.9432 4.9432 5.0224 90.00 90.00 90.00
Closest atoms and distances in Å follow each position.
Space group P4/mmm (No. 123)
Inequivalent atoms, fractional coordinates:
1 Na 0.0000 0.0000 0.0000  4 Y 3.50, 8 S 3.52
2 Y 0.5000 0.5000 0.0000  2 Ir 2.51
3 Ir 0.5000 0.5000 0.5000  4 S 2.47, 2 Y 2.51
4 S 0.0000 0.5000 0.5000  2 Ir 2.47



First-principles (PBE-GGA) data for NaSb12Ir4 after structural relaxation, as listed in Alexandria.

Properties
ΔE_f (raw) = -0.34 eV/atom
Fermi-level density of states = 0.285 states/eV/atom

Lattice parameters (Å, degrees): 9.4434 9.4434 9.4434 90.00 90.00 90.00
Closest atoms and distances in Å follow each position.
Space group Im-3 (No. 204)
Inequivalent atoms, fractional coordinates:
1 Na 0.0000 0.0000 0.0000  12 Sb 3.52
2 Sb 0.0000 0.3393 0.1544  2 Ir 2.66, 1 Sb 2.92
3 Ir 0.2500 0.2500 0.2500  6 Sb 2.66



First-principles (PBE-GGA) data for NaSb6Ir after structural relaxation, as listed in Alexandria.

Properties
ΔE_f (raw) = -0.08 eV/atom
Fermi-level density of states = 0.273 states/eV/atom

Lattice parameters (Å, degrees): 13.4647 9.3211 9.9532 90.00 129.27 90.00
Closest atoms and distances in Å follow each position.
Space group C2/m (No. 12)
Inequivalent atoms, fractional coordinates:
1 Na 0.2500 0.2500 0.0000  6 Sb 3.04-3.20
2 Sb 0.0393 0.1531 0.1894  1 Ir 2.71, 1 Sb 2.85
3 Sb 0.1357 0.5000 0.7453  2 Sb 2.86-2.92, 2 Na 3.05
4 Sb 0.1372 0.1679 0.6328  1 Ir 2.68, 1 Sb 2.88
5 Sb 0.1432 0.5000 0.4643  2 Ir 2.64, 2 Sb 2.86-2.92
6 Ir 0.2500 0.2500 0.5000  6 Sb 2.64-2.71



Across the entries above, VASP energy takes the values -6.252, -6.391, -3.940, -3.578, -4.141, -3.707, -5.590, -5.031, -2.680, -5.798, -5.489, -4.097, -4.908, -5.058, -4.150, -4.768, -5.518, -5.964, -5.506, -6.144, -4.911, -5.063, -5.413, -4.440 eV per atom, respectively.